Version i
# HfBeAlIr GGA-PBE relaxed
data_HfBeAlIr
_space_group_name_H-M_alt 'F -4 3 m'
_space_group_IT_number 216
_space_group_name_Hall 'F -4 2 3'
_cell_length_a 6.1317
_cell_length_b 6.1317
_cell_length_c 6.1317
_cell_angle_alpha 90.00
_cell_angle_beta 90.00
_cell_angle_gamma 90.00
loop_
_atom_site_label
_atom_site_fract_x
_atom_site_fract_y
_atom_site_fract_z
Hf1 0.0000 0.0000 0.0000
Be1 0.2500 0.2500 0.7500
Al1 0.2500 0.2500 0.2500
Ir1 0.0000 0.0000 0.5000
# Spin magnetization in μB/cell: 0.003

Version ii
# HfBeAlIr GGA-PBE relaxed
data_HfBeAlIr
_space_group_name_H-M_alt 'F -4 3 m'
_space_group_IT_number 216
_space_group_name_Hall 'F -4 2 3'
_cell_length_a 6.1973
_cell_length_b 6.1973
_cell_length_c 6.1973
_cell_angle_alpha 90.00
_cell_angle_beta 90.00
_cell_angle_gamma 90.00
loop_
_atom_site_label
_atom_site_fract_x
_atom_site_fract_y
_atom_site_fract_z
Hf1 0.0000 0.0000 0.0000
Be1 0.0000 0.0000 0.5000
Al1 0.2500 0.2500 0.2500
Ir1 0.2500 0.2500 0.7500
# Spin magnetization in μB/cell: 0.013

Most stable of them? version ii.